Record 1
This record from the Alexandria database describes a relaxed structure of InPtRh2. The functional is PBE.

abc: 3.377 3.377 5.693
angles: 90.00 90.00 90.00
Positions (direct):
In  0.000  0.000  0.000
Pt  0.500  0.500  0.261
Rh  0.000  0.000  0.510
Rh  0.500  0.500  0.733

E_form = -0.1042 eV per atom
calculated density = 13.19 Mg/m³
spin magnetization = 0.000 μB per cell
final energy = -23.90 eV per formula unit
D(E_F) = 3.49 states/eV/f.u.



Record 2
This record from the Alexandria database describes a relaxed structure of CuAgOs2. The functional is PBE.

abc: 2.730 4.577 4.777
angles: 90.00 90.00 90.00
Positions (direct):
Cu  0.000  0.000  0.000
Ag  0.500  0.500  0.000
Os  0.000  0.500  0.500
Os  0.500  0.000  0.500

E_form = 0.6469 eV per atom
calculated density = 15.35 Mg/m³
spin magnetization = 0.000 μB per cell
distance to the lowest polymorph of the same formula = 32.6 kJ/mol of atoms
final energy = -26.82 eV per formula unit
D(E_F) = 4.09 states/eV/f.u.



Record 3
This record from the Alexandria database describes a relaxed structure of SrBe2Mo2. The functional is PBE.

abc: 6.616 6.616 6.616
angles: 146.22 146.22 48.53
Positions (direct):
Sr  0.000  0.000  0.000
Be  0.377  0.377  0.000
Be  0.623  0.623  0.000
Mo  0.250  0.750  0.500
Mo  0.750  0.250  0.500

E_form = 0.4026 eV per atom
calculated density = 5.54 Mg/m³
spin magnetization = 0.000 μB per cell
final energy = -28.78 eV per formula unit
D(E_F) = 3.50 states/eV/f.u.



Record 4
This record from the Alexandria database describes a relaxed structure of Ac8Ge5S3. The functional is PBE.

abc: 9.037 9.037 9.037
angles: 59.80 59.80 59.80
Positions (direct):
Ac  0.250  0.250  0.250
Ac  0.250  0.250  0.747
Ac  0.250  0.747  0.250
Ac  0.253  0.750  0.750
Ac  0.747  0.250  0.250
Ac  0.750  0.253  0.750
Ac  0.750  0.750  0.253
Ac  0.750  0.750  0.750
Ge  0.000  0.000  0.000
Ge  0.000  0.000  0.500
Ge  0.000  0.500  0.000
Ge  0.500  0.000  0.000
Ge  0.500  0.500  0.500
S  0.000  0.500  0.500
S  0.500  0.000  0.500
S  0.500  0.500  0.000

calculated density = 7.27 Mg/m³
spin magnetization = 0.000 μB per cell
final energy = -87.24 eV per formula unit
D(E_F) = 11.83 states/eV/f.u.
energy relative to the elements, uncorrected = -1.182 eV per atom